This record from Alexandria describes crystalline Ti2AgOs at its relaxed geometry. The functional is PBE.

Cell lengths 7.0948, 7.0948, 5.7289 Å; angles 51.74, 51.74, 90.00 degrees
Last column: nearest neighbours and their distance in Å.
Positions (direct):
Os: 0.0000 0.0000 0.0000  4 Ti 2.48, 2 Ag 2.77
Os: 0.7500 0.2500 0.5000  4 Ti 2.48, 2 Ag 2.77
Ag: 0.5000 0.5000 0.0000  4 Ti 2.73, 2 Os 2.77
Ag: 0.2500 0.7500 0.5000  4 Ti 2.73, 2 Os 2.77
Ti: 0.6516 0.1250 0.2500  2 Os 2.48, 2 Ag 2.73
Ti: 0.0984 0.6250 0.2500  2 Os 2.48, 2 Ag 2.73
Ti: 0.3750 0.3484 0.7500  2 Os 2.48, 2 Ag 2.73
Ti: 0.8750 0.9016 0.7500  2 Os 2.48, 2 Ag 2.73

Results
Uncorrected energy: -0.529 Ry/atom
N(E_F): 7.8 states/eV/cell
E_form: 1.1 eV per formula unit